! CoOsRh2 GGA-PBE optimized geometry; values from VASP
&SYSTEM
  ibrav = 0, nat = 4, ntyp = 3
/
ATOMIC_SPECIES
Co 58.93 Co.upf
Os 190.23 Os.upf
Rh 102.91 Rh.upf
ATOMIC_POSITIONS angstrom
Co 0.000 0.000 0.000
Os 2.669 0.000 0.000
Rh 1.335 1.895 1.340
Rh 1.335 -1.895 1.340
CELL_PARAMETERS angstrom
2.669 -3.790 0.000
2.669 3.790 0.000
0.000 0.000 2.680
! Energy relative to the lowest polymorph listed for this composition in eV per formula unit: 0.16
! DOS(E_F) in states/eV per cell: 5.06
! Energy relative to the elements in eV per formula unit: 0.48